[1]
# CuOsWN2, PBEsol geometry, DFT SCAN
data_CuOsWN2
_chemical_formula_sum 'Cu1 Os1 W1 N2'
_symmetry_space_group_name_H-M 'P 4/m m m'
_symmetry_Int_Tables_number 123
_symmetry_space_group_name_Hall '-P 4 2'
_cell_length_a 3.745
_cell_length_b 3.745
_cell_length_c 4.864
_cell_angle_alpha 90.00
_cell_angle_beta 90.00
_cell_angle_gamma 90.00
loop_
_atom_site_label
_atom_site_type_symbol
_atom_site_fract_x
_atom_site_fract_y
_atom_site_fract_z
Cu1 Cu 0.000 0.000 0.000
Os1 Os 0.000 0.000 0.500
W1 W 0.500 0.500 0.000
N1 N 0.000 0.500 0.500
# raw formation energy	1676	meV/atom
# crystal system	tetragonal
# DFT total energy	-33.3935	eV per atom

---

[2]
# CuPN2, PBEsol geometry, DFT SCAN
data_CuPN2
_chemical_formula_sum 'Cu4 P4 N8'
_symmetry_space_group_name_H-M 'I -4 2 d'
_symmetry_Int_Tables_number 122
_symmetry_space_group_name_Hall 'I -4 2bw'
_cell_length_a 4.409
_cell_length_b 4.409
_cell_length_c 7.751
_cell_angle_alpha 90.00
_cell_angle_beta 90.00
_cell_angle_gamma 90.00
loop_
_atom_site_label
_atom_site_type_symbol
_atom_site_fract_x
_atom_site_fract_y
_atom_site_fract_z
Cu1 Cu 0.000 0.000 0.000
P1 P 0.000 0.000 0.500
N1 N 0.172 0.250 0.625
# raw formation energy	-338	meV/atom
# crystal system	tetragonal
# DFT total energy	-11.3834	eV per atom

---

[3]
# CuP2RuN, PBEsol geometry, DFT SCAN
data_CuP2RuN
_chemical_formula_sum 'Cu1 P2 Ru1 N1'
_symmetry_space_group_name_H-M 'P 4/m m m'
_symmetry_Int_Tables_number 123
_symmetry_space_group_name_Hall '-P 4 2'
_cell_length_a 4.121
_cell_length_b 4.121
_cell_length_c 3.785
_cell_angle_alpha 90.00
_cell_angle_beta 90.00
_cell_angle_gamma 90.00
loop_
_atom_site_label
_atom_site_type_symbol
_atom_site_fract_x
_atom_site_fract_y
_atom_site_fract_z
Cu1 Cu 0.000 0.000 0.000
P1 P 0.000 0.500 0.500
Ru1 Ru 0.500 0.500 0.000
N1 N 0.500 0.500 0.500
# raw formation energy	901	meV/atom
# crystal system	tetragonal
# DFT total energy	-15.1218	eV per atom

---

[4]
# Cu2PbN, PBEsol geometry, DFT SCAN
data_Cu2PbN
_chemical_formula_sum 'Cu8 Pb4 N4'
_symmetry_space_group_name_H-M 'F m -3 m'
_symmetry_Int_Tables_number 225
_symmetry_space_group_name_Hall '-F 4 2 3'
_cell_length_a 6.061
_cell_length_b 6.061
_cell_length_c 6.061
_cell_angle_alpha 90.00
_cell_angle_beta 90.00
_cell_angle_gamma 90.00
loop_
_atom_site_label
_atom_site_type_symbol
_atom_site_fract_x
_atom_site_fract_y
_atom_site_fract_z
Cu1 Cu 0.250 0.250 0.250
Pb1 Pb 0.000 0.000 0.000
N1 N 0.000 0.000 0.500
# raw formation energy	1134	meV/atom
# crystal system	cubic
# DFT total energy	-27.7339	eV per atom